Entry w
Entry from Alexandria via LeMat-Bulk: crystalline RbCdSi at its relaxed geometry (PBE).

Lattice parameters (Å, degrees): 4.7697 4.7684 12.7340 74.42 73.70 56.41
Atoms (fractional coordinates):
1 Cd 0.8352 0.1297 0.6146
2 Cd 0.8755 0.1867 0.8286
3 Si 0.2001 0.5090 0.7996
4 Si 0.1653 0.4599 0.6180
5 Rb 0.6119 0.8910 0.4088
6 Rb 0.4499 0.7763 0.0302

## Properties
Size of the total moment ... 0.00 μB per formula unit

***

Entry x
Entry from Alexandria via LeMat-Bulk: crystalline RbCdSi at its relaxed geometry (PBE).

Lattice parameters (Å, degrees): 3.8349 7.0512 7.5686 75.29 75.38 74.40
Atoms (fractional coordinates):
1 Cd 0.8712 0.0843 0.6655
2 Cd 0.1288 0.9157 0.3345
3 Rb 0.5706 0.6031 0.7518
4 Rb 0.4294 0.3969 0.2482
5 Si 0.2143 0.1156 0.9578
6 Si 0.7857 0.8844 0.0422

## Properties
Size of the total moment ... 0.00 μB per formula unit

***

Stability summary - winner: entry x; margin: 3.6 kJ/mol of atoms.